[1]
Here is a relaxed Tb2ErCd4 crystal from Alexandria. Energies are from PBE.

Distance to the lowest polymorph of the same formula = 141.3 meV per atom
Crystal system = tetragonal
Total moment = 0.0 μB per cell
V = 195.5 Å³ per cell

Geometry as CIF:
```
data_Tb2ErCd4
_chemical_formula_sum 'Tb2 Er1 Cd4'
_space_group_name_H-M_alt 'P 1'
_space_group_IT_number 1
_cell_length_a 5.789
_cell_length_b 5.789
_cell_length_c 7.127
_cell_angle_alpha 113.96
_cell_angle_beta 113.96
_cell_angle_gamma 90.00
loop_
_space_group_symop_operation_xyz
'x,y,z'
loop_
_atom_site_label
_atom_site_fract_x
_atom_site_fract_y
_atom_site_fract_z
Tb1 0.642 0.642 0.285
Tb2 0.358 0.358 0.715
Er1 0.000 0.000 0.000
Cd1 0.750 0.250 0.500
Cd2 0.250 0.750 0.500
Cd3 0.500 0.000 0.000
Cd4 0.000 0.500 0.000
```

---

[2]
Here is a relaxed Tb6Er3Cd crystal from Alexandria. Energies are from PBE.

Distance to the lowest polymorph of the same formula = 114.6 meV per atom
Crystal system = orthorhombic
Total moment = 0.0 μB per cell
V = 626.3 Å³ per cell

Geometry as CIF:
```
data_Tb6Er3Cd
_chemical_formula_sum 'Tb12 Er6 Cd2'
_space_group_name_H-M_alt 'P 1'
_space_group_IT_number 1
_cell_length_a 9.267
_cell_length_b 8.789
_cell_length_c 8.789
_cell_angle_alpha 118.98
_cell_angle_beta 90.00
_cell_angle_gamma 90.00
loop_
_space_group_symop_operation_xyz
'x,y,z'
loop_
_atom_site_label
_atom_site_fract_x
_atom_site_fract_y
_atom_site_fract_z
Tb1 0.112 0.919 0.707
Tb2 0.612 0.707 0.919
Tb3 0.297 0.491 0.884
Tb4 0.797 0.884 0.491
Tb5 0.289 0.937 0.063
Tb6 0.636 0.277 0.723
Tb7 0.136 0.723 0.277
Tb8 0.789 0.063 0.937
Tb9 0.297 0.116 0.509
Tb10 0.797 0.509 0.116
Tb11 0.112 0.293 0.081
Tb12 0.612 0.081 0.293
Er1 0.479 0.907 0.697
Er2 0.979 0.697 0.907
Er3 0.300 0.503 0.497
Er4 0.800 0.497 0.503
Er5 0.979 0.093 0.303
Er6 0.479 0.303 0.093
Cd1 0.984 0.276 0.724
Cd2 0.484 0.724 0.276
```

---

[3]
Here is a relaxed Tb4ErCd3 crystal from Alexandria. Energies are from PBE.

Crystal system = orthorhombic
E_tot = -3.41 eV per atom
Total moment = 0.0 μB per cell
V = 221.1 Å³ per cell

Geometry as CIF:
```
data_Tb4ErCd3
_chemical_formula_sum 'Tb4 Er1 Cd3'
_space_group_name_H-M_alt 'P 1'
_space_group_IT_number 1
_cell_length_a 3.768
_cell_length_b 5.376
_cell_length_c 10.914
_cell_angle_alpha 90.00
_cell_angle_beta 90.00
_cell_angle_gamma 90.00
loop_
_space_group_symop_operation_xyz
'x,y,z'
loop_
_atom_site_label
_atom_site_fract_x
_atom_site_fract_y
_atom_site_fract_z
Cd1 0.500 0.000 0.247
Cd2 0.500 0.500 0.500
Cd3 0.500 0.000 0.753
Tb1 0.000 0.000 0.500
Tb2 0.000 0.500 0.738
Tb3 0.000 0.000 0.000
Tb4 0.000 0.500 0.262
Er1 0.500 0.500 0.000
```

---

[4]
Here is a relaxed Tb3ErCd6 crystal from Alexandria. Energies are from PBE.

Crystal system = monoclinic
E_tot = -2.68 eV per atom
Total moment = 0.0 μB per cell
V = 504.1 Å³ per cell

Geometry as CIF:
```
data_Tb3ErCd6
_chemical_formula_sum 'Tb6 Er2 Cd12'
_space_group_name_H-M_alt 'P 1'
_space_group_IT_number 1
_cell_length_a 5.151
_cell_length_b 9.198
_cell_length_c 11.033
_cell_angle_alpha 105.32
_cell_angle_beta 90.00
_cell_angle_gamma 90.00
loop_
_space_group_symop_operation_xyz
'x,y,z'
loop_
_atom_site_label
_atom_site_fract_x
_atom_site_fract_y
_atom_site_fract_z
Tb1 0.250 0.528 0.393
Tb2 0.750 0.472 0.607
Tb3 0.250 0.350 0.789
Tb4 0.750 0.650 0.211
Tb5 0.250 0.761 0.002
Tb6 0.750 0.239 0.998
Er1 0.250 0.946 0.604
Er2 0.750 0.054 0.396
Cd1 0.250 0.450 0.093
Cd2 0.750 0.550 0.907
Cd3 0.250 0.145 0.191
Cd4 0.750 0.855 0.809
Cd5 0.250 0.663 0.707
Cd6 0.750 0.337 0.293
Cd7 0.250 0.237 0.493
Cd8 0.750 0.763 0.507
Cd9 0.250 0.855 0.307
Cd10 0.750 0.145 0.693
Cd11 0.250 0.051 0.895
Cd12 0.750 0.949 0.105
```

---

[5]
Here is a relaxed Tb2Er5Cd crystal from Alexandria. Energies are from PBE.

Crystal system = triclinic
E_tot = -4.17 eV per atom
Total moment = 0.0 μB per cell
V = 236.8 Å³ per cell

Geometry as CIF:
```
data_Tb2Er5Cd
_chemical_formula_sum 'Tb2 Er5 Cd1'
_space_group_name_H-M_alt 'P 1'
_space_group_IT_number 1
_cell_length_a 8.251
_cell_length_b 6.998
_cell_length_c 6.573
_cell_angle_alpha 122.16
_cell_angle_beta 124.92
_cell_angle_gamma 89.97
loop_
_space_group_symop_operation_xyz
'x,y,z'
loop_
_atom_site_label
_atom_site_fract_x
_atom_site_fract_y
_atom_site_fract_z
Tb1 0.124 0.672 0.346
Tb2 0.810 0.254 0.509
Er1 0.637 0.192 0.861
Er2 0.305 0.263 0.026
Er3 0.638 0.669 0.861
Er4 0.305 0.764 0.028
Er5 0.810 0.778 0.557
Cd1 0.147 0.184 0.367
```

---

[6]
Here is a relaxed Tb7Er2Cd2 crystal from Alexandria. Energies are from PBE.

Crystal system = monoclinic
E_tot = -3.99 eV per atom
Total moment = 0.0 μB per cell
V = 331.5 Å³ per cell

Geometry as CIF:
```
data_Tb7Er2Cd2
_chemical_formula_sum 'Tb7 Er2 Cd2'
_space_group_name_H-M_alt 'P 1'
_space_group_IT_number 1
_cell_length_a 8.463
_cell_length_b 6.476
_cell_length_c 6.476
_cell_angle_alpha 96.83
_cell_angle_beta 76.97
_cell_angle_gamma 76.97
loop_
_space_group_symop_operation_xyz
'x,y,z'
loop_
_atom_site_label
_atom_site_fract_x
_atom_site_fract_y
_atom_site_fract_z
Tb1 0.174 0.127 0.480
Tb2 0.826 0.520 0.873
Tb3 0.826 0.873 0.520
Tb4 0.174 0.480 0.127
Tb5 0.000 0.000 0.000
Tb6 0.417 0.862 0.862
Tb7 0.583 0.138 0.138
Er1 0.500 0.319 0.681
Er2 0.500 0.681 0.319
Cd1 0.824 0.380 0.380
Cd2 0.176 0.620 0.620
```

---

[7]
Here is a relaxed TbErTiCd crystal from Alexandria. Energies are from PBE.

Crystal system = cubic
E_tot = -4.46 eV per atom
Total moment = 2.5 μB per cell
V = 100.4 Å³ per cell

Geometry as CIF:
```
data_TbErTiCd
_chemical_formula_sum 'Tb1 Er1 Ti1 Cd1'
_space_group_name_H-M_alt 'P 1'
_space_group_IT_number 1
_cell_length_a 5.217
_cell_length_b 5.217
_cell_length_c 5.217
_cell_angle_alpha 60.00
_cell_angle_beta 60.00
_cell_angle_gamma 60.00
loop_
_space_group_symop_operation_xyz
'x,y,z'
loop_
_atom_site_label
_atom_site_fract_x
_atom_site_fract_y
_atom_site_fract_z
Ti1 0.250 0.250 0.250
Cd1 0.750 0.750 0.750
Tb1 0.500 0.500 0.500
Er1 0.000 0.000 0.000
```

---

[8]
Here is a relaxed TbErTmCd crystal from Alexandria. Energies are from PBE.

Distance to the lowest polymorph of the same formula = 115.5 meV per atom
Crystal system = cubic
Total moment = 0.0 μB per cell
V = 111.7 Å³ per cell

Geometry as CIF:
```
data_TbErTmCd
_chemical_formula_sum 'Tb1 Er1 Tm1 Cd1'
_space_group_name_H-M_alt 'P 1'
_space_group_IT_number 1
_cell_length_a 5.407
_cell_length_b 5.407
_cell_length_c 5.407
_cell_angle_alpha 60.00
_cell_angle_beta 60.00
_cell_angle_gamma 60.00
loop_
_space_group_symop_operation_xyz
'x,y,z'
loop_
_atom_site_label
_atom_site_fract_x
_atom_site_fract_y
_atom_site_fract_z
Cd1 0.750 0.750 0.750
Tm1 0.250 0.250 0.250
Tb1 0.000 0.000 0.000
Er1 0.500 0.500 0.500
```

---

[9]
Here is a relaxed TbErTmCd crystal from Alexandria. Energies are from PBE.

Distance to the lowest polymorph of the same formula = 0.0 meV per atom
Crystal system = tetragonal
Total moment = 0.0 μB per cell
V = 114.1 Å³ per cell

Geometry as CIF:
```
data_TbErTmCd
_chemical_formula_sum 'Tb1 Er1 Tm1 Cd1'
_space_group_name_H-M_alt 'P 1'
_space_group_IT_number 1
_cell_length_a 3.554
_cell_length_b 3.554
_cell_length_c 9.031
_cell_angle_alpha 90.00
_cell_angle_beta 90.00
_cell_angle_gamma 90.00
loop_
_space_group_symop_operation_xyz
'x,y,z'
loop_
_atom_site_label
_atom_site_fract_x
_atom_site_fract_y
_atom_site_fract_z
Tb1 0.500 0.500 0.802
Er1 0.500 0.500 0.341
Tm1 0.000 0.000 0.073
Cd1 0.000 0.000 0.568
```

---

[10]
Here is a relaxed TbYErCd crystal from Alexandria. Energies are from PBE.

Distance to the lowest polymorph of the same formula = 0.0 meV per atom
Crystal system = tetragonal
Total moment = 0.0 μB per cell
V = 115.9 Å³ per cell

Geometry as CIF:
```
data_TbYErCd
_chemical_formula_sum 'Tb1 Y1 Er1 Cd1'
_space_group_name_H-M_alt 'P 1'
_space_group_IT_number 1
_cell_length_a 3.581
_cell_length_b 3.581
_cell_length_c 9.039
_cell_angle_alpha 90.00
_cell_angle_beta 90.00
_cell_angle_gamma 90.00
loop_
_space_group_symop_operation_xyz
'x,y,z'
loop_
_atom_site_label
_atom_site_fract_x
_atom_site_fract_y
_atom_site_fract_z
Tb1 0.000 0.000 0.074
Y1 0.500 0.500 0.797
Er1 0.500 0.500 0.345
Cd1 0.000 0.000 0.568
```

---

What is the formula in the eighth record? TbErTmCd